# PBE BaCu2Sb, relaxed
# ΔE_f (raw)	-0.91	eV/f.u.
# mass density	5.558	g/cm³
# total magnetization	0.00	μB/atom
data_BaCu2Sb
_cell_length_a 5.1350
_cell_length_b 5.1350
_cell_length_c 17.5017
_cell_angle_alpha 90.00
_cell_angle_beta 90.00
_cell_angle_gamma 90.00
_symmetry_space_group_name_H-M 'I 41/a m d'
_symmetry_Int_Tables_number 141
loop_
_symmetry_equiv_pos_as_xyz
'x,y,z'
'-x,-y,-z'
'-y+1/4,x+3/4,z+1/4'
'y+1/4,-x+3/4,-z+1/4'
'-x+1/2,-y,z+1/2'
'x+1/2,y,-z+1/2'
'y+1/4,-x+1/4,z+3/4'
'-y+1/4,x+1/4,-z+3/4'
'x,-y,-z'
'-x,y,z'
'-y+1/4,-x+1/4,-z+3/4'
'y+1/4,x+1/4,z+3/4'
'-x+1/2,y,-z+1/2'
'x+1/2,-y,z+1/2'
'y+1/4,x+3/4,-z+1/4'
'-y+1/4,-x+3/4,z+1/4'
'x+1/2,y+1/2,z+1/2'
'-x+1/2,-y+1/2,-z+1/2'
'-y+3/4,x+1/4,z+3/4'
'y+3/4,-x+1/4,-z+3/4'
'-x,-y+1/2,z'
'x,y+1/2,-z'
'y+3/4,-x+3/4,z+1/4'
'-y+3/4,x+3/4,-z+1/4'
'x+1/2,-y+1/2,-z+1/2'
'-x+1/2,y+1/2,z+1/2'
'-y+3/4,-x+3/4,-z+1/4'
'y+3/4,x+3/4,z+1/4'
'-x,y+1/2,-z'
'x,-y+1/2,z'
'y+3/4,x+1/4,-z+3/4'
'-y+3/4,-x+1/4,z+3/4'
loop_
_atom_site_label
_atom_site_fract_x
_atom_site_fract_y
_atom_site_fract_z
_atom_site_occupancy
Ba1 0.0000 0.2500 0.3750 1
Cu1 0.0000 0.0000 0.0000 1
Sb1 0.0000 0.2500 0.8750 1


# PBE BaCu2Sb, relaxed
# ΔE_f (raw)	0.17	eV/f.u.
# mass density	6.885	g/cm³
# total magnetization	0.00	μB/atom
data_BaCu2Sb
_cell_length_a 3.3686
_cell_length_b 3.6059
_cell_length_c 7.6681
_cell_angle_alpha 90.00
_cell_angle_beta 90.00
_cell_angle_gamma 90.00
_symmetry_space_group_name_H-M 'P m m 2'
_symmetry_Int_Tables_number 25
loop_
_symmetry_equiv_pos_as_xyz
'x,y,z'
'-x,-y,z'
'-x,y,z'
'x,-y,z'
loop_
_atom_site_label
_atom_site_fract_x
_atom_site_fract_y
_atom_site_fract_z
_atom_site_occupancy
Ba1 0.0000 0.0000 0.0000 1
Cu1 0.0000 0.0000 0.5620 1
Cu2 0.5000 0.5000 0.6919 1
Sb1 0.5000 0.5000 0.3503 1


# PBE BaCu2Sb, relaxed
# ΔE_f (raw)	0.31	eV/f.u.
# mass density	6.561	g/cm³
# total magnetization	0.00	μB/atom
data_BaCu2Sb
_cell_length_a 3.7531
_cell_length_b 3.7531
_cell_length_c 6.9387
_cell_angle_alpha 90.00
_cell_angle_beta 90.00
_cell_angle_gamma 90.00
_symmetry_space_group_name_H-M 'P 4/m m m'
_symmetry_Int_Tables_number 123
_symmetry_space_group_name_Hall '-P 4 2'
loop_
_atom_site_label
_atom_site_fract_x
_atom_site_fract_y
_atom_site_fract_z
_atom_site_occupancy
Ba1 0.0000 0.0000 0.0000 1
Cu1 0.5000 0.5000 0.3227 1
Sb1 0.0000 0.0000 0.5000 1


# PBE BaCuSb, relaxed
# ΔE_f (raw)	-1.65	eV/f.u.
# mass density	5.923	g/cm³
# total magnetization	0.00	μB/atom
data_BaCuSb
_cell_length_a 17.0757
_cell_length_b 4.6944
_cell_length_c 4.6940
_cell_angle_alpha 90.00
_cell_angle_beta 105.95
_cell_angle_gamma 90.00
_symmetry_space_group_name_H-M 'C 1 m 1'
_symmetry_Int_Tables_number 8
loop_
_symmetry_equiv_pos_as_xyz
'x,y,z'
'x,-y,z'
'x+1/2,y+1/2,z'
'x+1/2,-y+1/2,z'
loop_
_atom_site_label
_atom_site_fract_x
_atom_site_fract_y
_atom_site_fract_z
_atom_site_occupancy
Ba1 0.0000 0.0000 0.0000 1
Ba2 0.2500 0.0000 0.7500 1
Cu1 0.1741 0.5000 0.1727 1
Cu2 0.3261 0.5000 0.3263 1
Sb1 0.0944 0.5000 0.5935 1
Sb2 0.4056 0.0000 0.4058 1


# PBE BaCu2Sb, relaxed
# ΔE_f (raw)	0.68	eV/f.u.
# mass density	6.406	g/cm³
# total magnetization	0.00	μB/atom
data_BaCu2Sb
_cell_length_a 7.3705
_cell_length_b 7.3705
_cell_length_c 7.3705
_cell_angle_alpha 90.00
_cell_angle_beta 90.00
_cell_angle_gamma 90.00
_symmetry_space_group_name_H-M 'F -4 3 m'
_symmetry_Int_Tables_number 216
_symmetry_space_group_name_Hall 'F -4 2 3'
loop_
_atom_site_label
_atom_site_fract_x
_atom_site_fract_y
_atom_site_fract_z
_atom_site_occupancy
Ba1 0.0000 0.0000 0.0000 1
Cu1 0.0000 0.0000 0.5000 1
Cu2 0.2500 0.2500 0.7500 1
Sb1 0.2500 0.2500 0.2500 1


# PBE BaCuSb, relaxed
# ΔE_f (raw)	-1.99	eV/f.u.
# mass density	6.042	g/cm³
# total magnetization	0.00	μB/atom
data_BaCuSb
_cell_length_a 6.6642
_cell_length_b 6.6619
_cell_length_c 8.6542
_cell_angle_alpha 90.00
_cell_angle_beta 112.62
_cell_angle_gamma 90.00
_symmetry_space_group_name_H-M 'C 1 c 1'
_symmetry_Int_Tables_number 9
loop_
_symmetry_equiv_pos_as_xyz
'x,y,z'
'x,-y,z+1/2'
'x+1/2,y+1/2,z'
'x+1/2,-y+1/2,z+1/2'
loop_
_atom_site_label
_atom_site_fract_x
_atom_site_fract_y
_atom_site_fract_z
_atom_site_occupancy
Ba1 0.0000 0.1250 0.0000 1
Cu1 0.4135 0.1249 0.8286 1
Sb1 0.0818 0.3751 0.6637 1


# PBE BaCuSb, relaxed
# ΔE_f (raw)	-1.69	eV/f.u.
# mass density	5.591	g/cm³
# total magnetization	0.00	μB/atom
data_BaCuSb
_cell_length_a 10.6785
_cell_length_b 4.4822
_cell_length_c 8.3380
_cell_angle_alpha 90.00
_cell_angle_beta 106.17
_cell_angle_gamma 90.00
_symmetry_space_group_name_H-M 'C 1 2/m 1'
_symmetry_Int_Tables_number 12
loop_
_symmetry_equiv_pos_as_xyz
'x,y,z'
'-x,-y,-z'
'-x,y,-z'
'x,-y,z'
'x+1/2,y+1/2,z'
'-x+1/2,-y+1/2,-z'
'-x+1/2,y+1/2,-z'
'x+1/2,-y+1/2,z'
loop_
_atom_site_label
_atom_site_fract_x
_atom_site_fract_y
_atom_site_fract_z
_atom_site_occupancy
Ba1 0.0001 0.0002 0.0000 1
Ba2 0.0000 0.5000 0.5000 1
Cu1 0.2085 0.0000 0.4108 1
Sb1 0.2401 0.5000 0.2504 1


# PBE BaCuSb4, relaxed
# ΔE_f (raw)	-0.06	eV/f.u.
# mass density	6.314	g/cm³
# total magnetization	0.00	μB/atom
data_BaCuSb4
_cell_length_a 8.9779
_cell_length_b 8.9779
_cell_length_c 8.9779
_cell_angle_alpha 90.00
_cell_angle_beta 90.00
_cell_angle_gamma 90.00
_symmetry_space_group_name_H-M 'F -4 3 m'
_symmetry_Int_Tables_number 216
_symmetry_space_group_name_Hall 'F -4 2 3'
loop_
_atom_site_label
_atom_site_fract_x
_atom_site_fract_y
_atom_site_fract_z
_atom_site_occupancy
Ba1 0.0000 0.0000 0.0000 1
Cu1 0.2500 0.2500 0.7500 1
Sb1 0.1229 0.1229 0.3771 1


# PBE Ba2CuSb, relaxed
# ΔE_f (raw)	-1.91	eV/f.u.
# mass density	5.340	g/cm³
# total magnetization	0.00	μB/atom
data_Ba2CuSb
_cell_length_a 5.7842
_cell_length_b 5.7842
_cell_length_c 4.2747
_cell_angle_alpha 90.00
_cell_angle_beta 90.00
_cell_angle_gamma 90.00
_symmetry_space_group_name_H-M 'P 4/m m m'
_symmetry_Int_Tables_number 123
_symmetry_space_group_name_Hall '-P 4 2'
loop_
_atom_site_label
_atom_site_fract_x
_atom_site_fract_y
_atom_site_fract_z
_atom_site_occupancy
Ba1 0.0000 0.5000 0.0000 1
Cu1 0.0000 0.0000 0.5000 1
Sb1 0.5000 0.5000 0.5000 1


# PBE BaCuSb, relaxed
# ΔE_f (raw)	-1.19	eV/f.u.
# mass density	5.708	g/cm³
# total magnetization	0.00	μB/atom
data_BaCuSb
_cell_length_a 4.8454
_cell_length_b 7.8626
_cell_length_c 4.9271
_cell_angle_alpha 90.00
_cell_angle_beta 90.00
_cell_angle_gamma 90.00
_symmetry_space_group_name_H-M 'P m a 2'
_symmetry_Int_Tables_number 28
loop_
_symmetry_equiv_pos_as_xyz
'x,y,z'
'-x,-y,z'
'-x+1/2,y,z'
'x+1/2,-y,z'
loop_
_atom_site_label
_atom_site_fract_x
_atom_site_fract_y
_atom_site_fract_z
_atom_site_occupancy
Ba1 0.2500 0.2422 0.0000 1
Cu1 0.2500 0.5406 0.4980 1
Sb1 0.2500 0.8662 0.5001 1


# PBE BaCuSb, relaxed
# ΔE_f (raw)	-1.75	eV/f.u.
# mass density	5.711	g/cm³
# total magnetization	0.00	μB/atom
data_BaCuSb
_cell_length_a 4.6227
_cell_length_b 4.6227
_cell_length_c 15.2129
_cell_angle_alpha 90.00
_cell_angle_beta 90.00
_cell_angle_gamma 120.00
_symmetry_space_group_name_H-M 'R 3 m'
_symmetry_Int_Tables_number 160
_symmetry_space_group_name_Hall 'R 3 -2"'
loop_
_atom_site_label
_atom_site_fract_x
_atom_site_fract_y
_atom_site_fract_z
_atom_site_occupancy
Ba1 0.0000 0.0000 0.0000 1
Cu1 0.0000 0.0000 0.7987 1
Sb1 0.0000 0.0000 0.4884 1


# PBE BaCuSb3, relaxed
# ΔE_f (raw)	-1.06	eV/f.u.
# mass density	6.332	g/cm³
# total magnetization	0.00	μB/atom
data_BaCuSb3
_cell_length_a 5.2952
_cell_length_b 5.2952
_cell_length_c 5.2952
_cell_angle_alpha 90.00
_cell_angle_beta 90.00
_cell_angle_gamma 90.00
_symmetry_space_group_name_H-M 'P m -3 m'
_symmetry_Int_Tables_number 221
_symmetry_space_group_name_Hall '-P 4 2 3'
loop_
_atom_site_label
_atom_site_fract_x
_atom_site_fract_y
_atom_site_fract_z
_atom_site_occupancy
Ba1 0.0000 0.0000 0.0000 1
Cu1 0.5000 0.5000 0.5000 1
Sb1 0.0000 0.5000 0.5000 1


# PBE BaCu3Sb, relaxed
# ΔE_f (raw)	0.77	eV/f.u.
# mass density	5.829	g/cm³
# total magnetization	0.00	μB/atom
data_BaCu3Sb
_cell_length_a 5.0411
_cell_length_b 5.0411
_cell_length_c 5.0411
_cell_angle_alpha 90.00
_cell_angle_beta 90.00
_cell_angle_gamma 90.00
_symmetry_space_group_name_H-M 'P m -3 m'
_symmetry_Int_Tables_number 221
_symmetry_space_group_name_Hall '-P 4 2 3'
loop_
_atom_site_label
_atom_site_fract_x
_atom_site_fract_y
_atom_site_fract_z
_atom_site_occupancy
Ba1 0.0000 0.0000 0.0000 1
Cu1 0.0000 0.5000 0.5000 1
Sb1 0.5000 0.5000 0.5000 1